IrWS2N: relaxed, GGA-PBE.

Values from the calculation:
SG   P4/mmm
ΔE to the lowest computed polymorph   0.000 eV/atom
Mass density   8.9 g/cm3

Cell lengths 4.7587, 4.7587, 3.7356 Å; angles 90.00, 90.00, 90.00 degrees
Positions (direct):
Ir 0.0000 0.0000 0.0000
W 0.5000 0.5000 0.5000
S 0.0000 0.5000 0.5000
S 0.5000 0.0000 0.5000
N 0.5000 0.5000 0.0000